1.
This record from Alexandria describes crystalline LaTa2Co2 at its relaxed geometry. The functional is PBE.

Properties
Its symmetry is No. 127. The value obtained for the energy relative to the lowest polymorph listed for this composition is 304.4 meV/atom. For the formation energy, the calculation gives 1.03 eV/f.u.

Lattice parameters (Å, degrees): 7.632 7.632 3.057 90.00 90.00 90.00
Fractional positions:
La 0.000 0.000 0.000
La 0.500 0.500 0.000
Ta 0.149 0.351 0.500
Ta 0.351 0.851 0.500
Ta 0.649 0.149 0.500
Ta 0.851 0.649 0.500
Co 0.120 0.620 0.000
Co 0.380 0.120 0.000
Co 0.620 0.880 0.000
Co 0.880 0.380 0.000

2.
This record from Alexandria describes crystalline Cs2RbH at its relaxed geometry. The functional is PBE.

Properties
Its symmetry is No. 160. The value obtained for the energy relative to the lowest polymorph listed for this composition is 0.0 meV/atom.

Lattice parameters (Å, degrees): 12.739 12.739 12.739 21.74 21.74 21.74
Fractional positions:
Cs 0.000 0.000 0.000
Cs 0.238 0.238 0.238
Rb 0.785 0.785 0.785
H 0.619 0.619 0.619

3.
This record from Alexandria describes crystalline BaNaNb3 at its relaxed geometry. The functional is PBE.

Properties
Its symmetry is No. 221. The value obtained for the energy relative to the lowest polymorph listed for this composition is 0.0 meV/atom. For the formation energy, the calculation gives 10.49 eV/f.u.

Lattice parameters (Å, degrees): 5.062 5.062 5.062 90.00 90.00 90.00
Fractional positions:
Ba 0.000 0.000 0.000
Na 0.500 0.500 0.500
Nb 0.000 0.500 0.500
Nb 0.500 0.000 0.500
Nb 0.500 0.500 0.000

4.
This record from Alexandria describes crystalline Zn2TcTe at its relaxed geometry. The functional is PBE.

Properties
Its symmetry is No. 35. The formation energy from raw total energies is 1.7 eV per formula unit.

Lattice parameters (Å, degrees): 3.045 3.045 9.156 90.00 90.00 115.58
Fractional positions:
Zn 0.000 0.000 0.000
Zn 0.500 0.500 0.224
Tc 0.000 0.000 0.446
Te 0.500 0.500 0.674

5.
This record from Alexandria describes crystalline Nb3PdAu at its relaxed geometry. The functional is PBE.

Properties
Its symmetry is No. 221. The value obtained for the energy relative to the lowest polymorph listed for this composition is 0.0 meV/atom. For the formation energy, the calculation gives 6.11 eV/f.u.

Lattice parameters (Å, degrees): 4.826 4.826 4.826 90.00 90.00 90.00
Fractional positions:
Nb 0.000 0.000 0.500
Nb 0.000 0.500 0.000
Nb 0.500 0.000 0.000
Pd 0.000 0.000 0.000
Au 0.500 0.500 0.500

6.
This record from Alexandria describes crystalline Ce3B2C4 at its relaxed geometry. The functional is PBE.

Properties
Its symmetry is No. 71. For the formation energy, the calculation gives -2.60 eV/f.u.

Lattice parameters (Å, degrees): 6.624 6.624 6.624 148.56 123.83 65.80
Fractional positions:
Ce 0.000 0.000 0.000
Ce 0.304 0.804 0.500
Ce 0.696 0.196 0.500
B 0.342 0.500 0.842
B 0.658 0.500 0.158
C 0.115 0.376 0.739
C 0.363 0.624 0.739
C 0.637 0.376 0.261
C 0.885 0.624 0.261

7.
This record from Alexandria describes crystalline Tl2FeTc at its relaxed geometry. The functional is PBE.

Properties
Its symmetry is No. 123. The value obtained for the energy relative to the lowest polymorph listed for this composition is 333.3 meV/atom. For the formation energy, the calculation gives 3.17 eV/f.u.

Lattice parameters (Å, degrees): 3.428 3.428 6.220 90.00 90.00 90.00
Fractional positions:
Tl 0.000 0.000 0.247
Tl 0.000 0.000 0.753
Fe 0.500 0.500 0.000
Tc 0.500 0.500 0.500

8.
This record from Alexandria describes crystalline CaCeLuCd at its relaxed geometry. The functional is PBE.

Properties
Its symmetry is No. 216. For the formation energy, the calculation gives 0.33 eV/f.u.

Lattice parameters (Å, degrees): 5.516 5.516 5.516 60.00 60.00 60.00
Fractional positions:
Ca 0.000 0.000 0.000
Ce 0.500 0.500 0.500
Lu 0.750 0.750 0.750
Cd 0.250 0.250 0.250

9.
This record from Alexandria describes crystalline IrPt3 at its relaxed geometry. The functional is PBE.

Properties
Its symmetry is No. 166. For the formation energy, the calculation gives 1.05 eV/f.u.

Lattice parameters (Å, degrees): 5.234 5.234 5.234 117.04 117.04 117.04
Fractional positions:
Ir 0.000 0.000 0.000
Pt 0.000 0.500 0.500
Pt 0.500 0.000 0.500
Pt 0.500 0.500 0.000

10.
This record from Alexandria describes crystalline Cs2TlRh3F12 at its relaxed geometry. The functional is PBE.

Properties
Its symmetry is No. 166. The formation energy from raw total energies is -34.2 eV per formula unit.

Lattice parameters (Å, degrees): 7.944 7.944 7.944 56.53 56.53 56.53
Fractional positions:
Cs 0.121 0.121 0.121
Cs 0.879 0.879 0.879
Tl 0.500 0.500 0.500
Rh 0.000 0.500 0.500
Rh 0.500 0.000 0.500
Rh 0.500 0.500 0.000
F 0.058 0.620 0.620
F 0.214 0.214 0.621
F 0.214 0.621 0.214
F 0.379 0.786 0.786
F 0.380 0.380 0.942
F 0.380 0.942 0.380
F 0.620 0.058 0.620
F 0.620 0.620 0.058
F 0.621 0.214 0.214
F 0.786 0.379 0.786
F 0.786 0.786 0.379
F 0.942 0.380 0.380

11.
This record from Alexandria describes crystalline Er2Zn2GeRh5 at its relaxed geometry. The functional is PBE.

Properties
Its symmetry is No. 127. For the formation energy, the calculation gives -6.46 eV/f.u.

Lattice parameters (Å, degrees): 9.696 9.696 3.496 90.00 90.00 90.00
Fractional positions:
Er 0.172 0.328 0.000
Er 0.328 0.828 0.000
Er 0.672 0.172 0.000
Er 0.828 0.672 0.000
Zn 0.128 0.628 0.000
Zn 0.372 0.128 0.000
Zn 0.628 0.872 0.000
Zn 0.872 0.372 0.000
Ge 0.000 0.000 0.000
Ge 0.500 0.500 0.000
Rh 0.000 0.500 0.500
Rh 0.063 0.803 0.500
Rh 0.197 0.063 0.500
Rh 0.303 0.563 0.500
Rh 0.437 0.303 0.500
Rh 0.500 0.000 0.500
Rh 0.563 0.697 0.500
Rh 0.697 0.437 0.500
Rh 0.803 0.937 0.500
Rh 0.937 0.197 0.500

12.
This record from Alexandria describes crystalline NdErGe2Pd5 at its relaxed geometry. The functional is PBE.

Properties
Its symmetry is No. 123. For the formation energy, the calculation gives -7.06 eV/f.u.

Lattice parameters (Å, degrees): 4.272 4.272 9.114 90.00 90.00 90.00
Fractional positions:
Nd 0.000 0.000 0.000
Er 0.000 0.000 0.500
Ge 0.500 0.500 0.367
Ge 0.500 0.500 0.633
Pd 0.000 0.500 0.230
Pd 0.000 0.500 0.770
Pd 0.500 0.000 0.230
Pd 0.500 0.000 0.770
Pd 0.500 0.500 0.000

13.
This record from Alexandria describes crystalline Sc3Pa5As8 at its relaxed geometry. The functional is PBE.

Properties
Its symmetry is No. 166. For the formation energy, the calculation gives -18.48 eV/f.u.

Lattice parameters (Å, degrees): 8.034 8.034 8.034 60.10 60.10 60.10
Fractional positions:
Sc 0.000 0.500 0.500
Sc 0.500 0.000 0.500
Sc 0.500 0.500 0.000
Pa 0.000 0.000 0.000
Pa 0.000 0.000 0.500
Pa 0.000 0.500 0.000
Pa 0.500 0.000 0.000
Pa 0.500 0.500 0.500
As 0.250 0.250 0.738
As 0.250 0.738 0.250
As 0.254 0.254 0.254
As 0.262 0.750 0.750
As 0.738 0.250 0.250
As 0.746 0.746 0.746
As 0.750 0.262 0.750
As 0.750 0.750 0.262

14.
This record from Alexandria describes crystalline LaTeNO2 at its relaxed geometry. The functional is PBE.

Properties
Its symmetry is No. 123. The formation energy from raw total energies is -1.0 eV per formula unit.

Lattice parameters (Å, degrees): 4.375 4.375 4.957 90.00 90.00 90.00
Fractional positions:
La 0.000 0.000 0.000
Te 0.500 0.500 0.500
N 0.000 0.000 0.500
O 0.000 0.500 0.000
O 0.500 0.000 0.000

15.
This record from Alexandria describes crystalline Pr2HgPd3 at its relaxed geometry. The functional is PBE.

Properties
Its symmetry is No. 69. The value obtained for the energy relative to the lowest polymorph listed for this composition is 0.0 meV/atom. For the formation energy, the calculation gives -3.81 eV/f.u.

Lattice parameters (Å, degrees): 9.293 8.818 6.002 74.99 66.42 38.60
Fractional positions:
Pr 0.245 0.755 0.755
Pr 0.250 0.250 0.250
Pr 0.750 0.750 0.750
Pr 0.755 0.245 0.245
Hg 0.334 0.334 0.666
Hg 0.666 0.666 0.334
Pd 0.164 0.164 0.836
Pd 0.164 0.668 0.332
Pd 0.332 0.836 0.164
Pd 0.668 0.164 0.836
Pd 0.836 0.332 0.668
Pd 0.836 0.836 0.164

16.
This record from Alexandria describes crystalline PmUSb2 at its relaxed geometry. The functional is PBE.

Properties
Its symmetry is No. 166. The value obtained for the energy relative to the lowest polymorph listed for this composition is 726.1 meV/atom. The formation energy from raw total energies is 0.2 eV per formula unit.

Lattice parameters (Å, degrees): 11.952 11.952 11.952 16.02 16.02 16.02
Fractional positions:
Pm 0.000 0.000 0.000
U 0.500 0.500 0.500
Sb 0.410 0.410 0.410
Sb 0.590 0.590 0.590

17.
This record from Alexandria describes crystalline Sm4Ga12Rh at its relaxed geometry. The functional is PBE.

Properties
Its symmetry is No. 229. For the formation energy, the calculation gives -10.77 eV/f.u.

Lattice parameters (Å, degrees): 7.547 7.547 7.547 109.47 109.47 109.47
Fractional positions:
Sm 0.000 0.000 0.500
Sm 0.000 0.500 0.000
Sm 0.500 0.000 0.000
Sm 0.500 0.500 0.500
Ga 0.000 0.292 0.292
Ga 0.000 0.708 0.708
Ga 0.250 0.500 0.750
Ga 0.250 0.750 0.500
Ga 0.292 0.000 0.292
Ga 0.292 0.292 0.000
Ga 0.500 0.250 0.750
Ga 0.500 0.750 0.250
Ga 0.708 0.000 0.708
Ga 0.708 0.708 0.000
Ga 0.750 0.250 0.500
Ga 0.750 0.500 0.250
Rh 0.000 0.000 0.000

18.
This record from Alexandria describes crystalline Ca6TlCd2 at its relaxed geometry. The functional is PBE.

Properties
Its symmetry is No. 71. For the formation energy, the calculation gives -2.31 eV/f.u.

Lattice parameters (Å, degrees): 9.217 9.217 9.217 111.30 110.61 106.54
Fractional positions:
Ca 0.049 0.830 0.219
Ca 0.250 0.555 0.305
Ca 0.250 0.945 0.695
Ca 0.273 0.320 0.593
Ca 0.273 0.680 0.953
Ca 0.389 0.170 0.219
Ca 0.611 0.830 0.781
Ca 0.727 0.320 0.047
Ca 0.727 0.680 0.407
Ca 0.750 0.055 0.305
Ca 0.750 0.445 0.695
Ca 0.951 0.170 0.781
Tl 0.000 0.500 0.500
Tl 0.500 0.000 0.500
Cd 0.000 0.146 0.146
Cd 0.000 0.854 0.854
Cd 0.367 0.367 0.000
Cd 0.633 0.633 0.000

19.
This record from Alexandria describes crystalline Ba8PPt3Br4 at its relaxed geometry. The functional is PBE.

Properties
Its symmetry is No. 166. The formation energy from raw total energies is -21.3 eV per formula unit.

Lattice parameters (Å, degrees): 9.773 9.773 9.773 56.49 56.49 56.49
Fractional positions:
Ba 0.235 0.737 0.737
Ba 0.241 0.241 0.241
Ba 0.263 0.263 0.765
Ba 0.263 0.765 0.263
Ba 0.737 0.235 0.737
Ba 0.737 0.737 0.235
Ba 0.759 0.759 0.759
Ba 0.765 0.263 0.263
P 0.500 0.500 0.500
Pt 0.000 0.000 0.500
Pt 0.000 0.500 0.000
Pt 0.500 0.000 0.000
Br 0.000 0.000 0.000
Br 0.000 0.500 0.500
Br 0.500 0.000 0.500
Br 0.500 0.500 0.000

20.
This record from Alexandria describes crystalline Ce3Pr3YS8 at its relaxed geometry. The functional is PBE.

Properties
Its symmetry is No. 166. The formation energy from raw total energies is -30.7 eV per formula unit.

Lattice parameters (Å, degrees): 8.121 8.121 8.121 59.85 59.85 59.85
Fractional positions:
Ce 0.000 0.500 0.500
Ce 0.500 0.000 0.500
Ce 0.500 0.500 0.000
Pr 0.000 0.000 0.500
Pr 0.000 0.500 0.000
Pr 0.500 0.000 0.000
Y 0.000 0.000 0.000
S 0.243 0.243 0.753
S 0.243 0.753 0.243
S 0.247 0.757 0.757
S 0.252 0.252 0.252
S 0.748 0.748 0.748
S 0.753 0.243 0.243
S 0.757 0.247 0.757
S 0.757 0.757 0.247

21.
This record from Alexandria describes crystalline Ca2SmZn at its relaxed geometry. The functional is PBE.

Properties
Its symmetry is No. 123. The value obtained for the energy relative to the lowest polymorph listed for this composition is 0.0 meV/atom. For the formation energy, the calculation gives -0.17 eV/f.u.

Lattice parameters (Å, degrees): 3.598 3.598 9.585 90.00 90.00 90.00
Fractional positions:
Ca 0.000 0.000 0.197
Ca 0.000 0.000 0.803
Sm 0.500 0.500 0.500
Zn 0.500 0.500 0.000

22.
This record from Alexandria describes crystalline In2Hg8Pb at its relaxed geometry. The functional is PBE.

Properties
Its symmetry is No. 123. For the formation energy, the calculation gives 0.29 eV/f.u.

Lattice parameters (Å, degrees): 5.191 5.191 11.543 90.00 90.00 90.00
Fractional positions:
In 0.000 0.000 0.169
In 0.000 0.000 0.831
Hg 0.000 0.500 0.000
Hg 0.000 0.500 0.341
Hg 0.000 0.500 0.659
Hg 0.500 0.000 0.000
Hg 0.500 0.000 0.341
Hg 0.500 0.000 0.659
Hg 0.500 0.500 0.175
Hg 0.500 0.500 0.825
Pb 0.000 0.000 0.500

23.
This record from Alexandria describes crystalline In2Pb2S at its relaxed geometry. The functional is PBE.

Properties
Its symmetry is No. 127. The value obtained for the energy relative to the lowest polymorph listed for this composition is 41.0 meV/atom. The formation energy from raw total energies is 0.4 eV per formula unit.

Lattice parameters (Å, degrees): 7.122 7.122 5.611 90.00 90.00 90.00
Fractional positions:
In 0.149 0.351 0.000
In 0.351 0.851 0.000
In 0.649 0.149 0.000
In 0.851 0.649 0.000
Pb 0.180 0.680 0.500
Pb 0.320 0.180 0.500
Pb 0.680 0.820 0.500
Pb 0.820 0.320 0.500
S 0.000 0.000 0.000
S 0.500 0.500 0.000

Record-wise raw total energy values, in eV per atom: -8.3619 -1.5421 -4.5920 -3.5853 -6.5136 -7.8499 -5.0977 -3.2612 -6.4838 -4.5996 -5.9507 -5.7323 -7.6345 -5.4540 -4.8757 -6.0297 -4.3131 -2.0576 -4.1825 -6.8208 -2.5419 -1.0279 -3.3280